# Ag2HPb

Ag2HPb after structural relaxation (GGA-PBE, Alexandria via LeMat-Bulk).

It has space group Fm-3m (No. 225), with a = 6.726 Å, b = 6.726 Å, c = 6.726 Å, α = 90.00°, β = 90.00° and γ = 90.00°. The distinct sites, in fractional coordinates, are Ag at (0.250, 0.250, 0.250), H at (0.000, 0.000, 0.000) and Pb at (0.000, 0.000, 0.500).

The calculation puts the final energy at -40.4 eV/cell. Its energy above the lowest structure with this stoichiometry is 456 meV per atom. The density of states at the Fermi level comes out at 6.31 states/eV/cell.